[1]
Computed, not measured: a PBEsol-optimized structure of Cd3BiO at the meta-GGA SCAN level of DFT.

Cell lengths 4.687, 4.687, 4.687 Å; angles 90.00, 90.00, 90.00 degrees
Element x y z (fractional)
Cd 0.000 0.000 0.500
Cd 0.000 0.500 0.000
Cd 0.500 0.000 0.000
Bi 0.500 0.500 0.500
O 0.000 0.000 0.000

Properties
- space-group type = Pm-3m (221)
- M_tot (μB per cell) = 0.000
- energy above the lowest structure with this stoichiometry (eV per atom) = 0.000
- formation energy without anion corrections (kJ/mol of formula units) = -120


[2]
Computed, not measured: a PBEsol-optimized structure of CdBi3O at the meta-GGA SCAN level of DFT.

Cell lengths 5.549, 5.549, 5.549 Å; angles 90.00, 90.00, 90.00 degrees
Element x y z (fractional)
Cd 0.000 0.000 0.000
Bi 0.000 0.000 0.500
Bi 0.000 0.500 0.000
Bi 0.500 0.000 0.000
O 0.500 0.500 0.500

Properties
- space-group type = Pm-3m (221)
- M_tot (μB per cell) = 1.731
- formation energy without anion corrections (kJ/mol of formula units) = 536


[3]
Computed, not measured: a PBEsol-optimized structure of Cd3BiO at the meta-GGA SCAN level of DFT.

Cell lengths 5.770, 5.770, 5.770 Å; angles 90.00, 90.00, 90.00 degrees
Element x y z (fractional)
Cd 0.000 0.000 0.500
Cd 0.000 0.500 0.000
Cd 0.500 0.000 0.000
Bi 0.000 0.000 0.000
O 0.500 0.500 0.500

Properties
- space-group type = Pm-3m (221)
- M_tot (μB per cell) = 1.222
- energy above the lowest structure with this stoichiometry (eV per atom) = 1.041
- formation energy without anion corrections (kJ/mol of formula units) = 383


[4]
Computed, not measured: a PBEsol-optimized structure of CdTcBiOs2 at the meta-GGA SCAN level of DFT.

Cell lengths 4.815, 4.815, 4.787 Å; angles 90.00, 90.00, 90.00 degrees
Element x y z (fractional)
Cd 0.000 0.000 0.000
Tc 0.000 0.000 0.500
Bi 0.500 0.500 0.500
Os 0.000 0.500 0.000
Os 0.500 0.000 0.000

Properties
- space-group type = P4/mmm (123)
- M_tot (μB per cell) = 5.963
- energy of formation (eV per atom) = 2.677


[5]
Computed, not measured: a PBEsol-optimized structure of CdBi2P2 at the meta-GGA SCAN level of DFT.

Cell lengths 7.735, 7.735, 3.855 Å; angles 90.00, 90.00, 90.00 degrees
Element x y z (fractional)
Cd 0.000 0.000 0.000
Cd 0.500 0.500 0.000
Bi 0.156 0.344 0.500
Bi 0.344 0.844 0.500
Bi 0.656 0.156 0.500
Bi 0.844 0.656 0.500
P 0.158 0.658 0.000
P 0.342 0.158 0.000
P 0.658 0.842 0.000
P 0.842 0.342 0.000

Properties
- space-group type = P4/mbm (127)
- M_tot (μB per cell) = 0.000
- energy of formation (eV per atom) = 0.398


[6]
Computed, not measured: a PBEsol-optimized structure of Cd2BiPd2 at the meta-GGA SCAN level of DFT.

Cell lengths 7.690, 7.690, 3.245 Å; angles 90.00, 90.00, 90.00 degrees
Element x y z (fractional)
Cd 0.154 0.346 0.000
Cd 0.346 0.846 0.000
Cd 0.654 0.154 0.000
Cd 0.846 0.654 0.000
Bi 0.000 0.000 0.500
Bi 0.500 0.500 0.500
Pd 0.140 0.640 0.500
Pd 0.360 0.140 0.500
Pd 0.640 0.860 0.500
Pd 0.860 0.360 0.500

Properties
- space-group type = P4/mbm (127)
- M_tot (μB per cell) = 0.000
- energy of formation (eV per atom) = -0.255


[7]
Computed, not measured: a PBEsol-optimized structure of Cd3BiPd at the meta-GGA SCAN level of DFT.

Cell lengths 5.547, 5.547, 5.547 Å; angles 90.00, 90.00, 90.00 degrees
Element x y z (fractional)
Cd 0.000 0.000 0.500
Cd 0.000 0.500 0.000
Cd 0.500 0.000 0.000
Bi 0.000 0.000 0.000
Pd 0.500 0.500 0.500

Properties
- space-group type = Pm-3m (221)
- M_tot (μB per cell) = 0.000
- energy of formation (eV per atom) = 0.911


[8]
Computed, not measured: a PBEsol-optimized structure of Cd2BiPt2 at the meta-GGA SCAN level of DFT.

Cell lengths 7.948, 7.948, 3.066 Å; angles 90.00, 90.00, 90.00 degrees
Element x y z (fractional)
Cd 0.135 0.365 0.000
Cd 0.365 0.865 0.000
Cd 0.635 0.135 0.000
Cd 0.865 0.635 0.000
Bi 0.000 0.000 0.500
Bi 0.500 0.500 0.500
Pt 0.161 0.661 0.500
Pt 0.339 0.161 0.500
Pt 0.661 0.839 0.500
Pt 0.839 0.339 0.500

Properties
- space-group type = P4/mbm (127)
- M_tot (μB per cell) = 0.000
- energy of formation (eV per atom) = -0.207


[9]
Computed, not measured: a PBEsol-optimized structure of Cd2BiPtSe at the meta-GGA SCAN level of DFT.

Cell lengths 4.969, 4.969, 5.542 Å; angles 90.00, 90.00, 90.00 degrees
Element x y z (fractional)
Cd 0.000 0.500 0.000
Cd 0.500 0.000 0.000
Bi 0.000 0.000 0.500
Pt 0.500 0.500 0.500
Se 0.000 0.000 0.000

Properties
- space-group type = P4/mmm (123)
- M_tot (μB per cell) = 0.000
- formation energy without anion corrections (kJ/mol of formula units) = 394


[10]
Computed, not measured: a PBEsol-optimized structure of Rb2SrCdBi at the meta-GGA SCAN level of DFT.

Cell lengths 6.143, 6.143, 6.405 Å; angles 90.00, 90.00, 90.00 degrees
Element x y z (fractional)
Rb 0.000 0.500 0.000
Rb 0.500 0.000 0.000
Sr 0.000 0.000 0.500
Cd 0.000 0.000 0.000
Bi 0.500 0.500 0.500

Properties
- space-group type = P4/mmm (123)
- M_tot (μB per cell) = 0.000
- energy of formation (eV per atom) = 0.082


[11]
Computed, not measured: a PBEsol-optimized structure of CdRe3Bi at the meta-GGA SCAN level of DFT.

Cell lengths 4.817, 4.817, 4.817 Å; angles 90.00, 90.00, 90.00 degrees
Element x y z (fractional)
Cd 0.000 0.000 0.000
Re 0.000 0.000 0.500
Re 0.000 0.500 0.000
Re 0.500 0.000 0.000
Bi 0.500 0.500 0.500

Properties
- space-group type = Pm-3m (221)
- M_tot (μB per cell) = 2.783
- energy of formation (eV per atom) = 3.096


[12]
Computed, not measured: a PBEsol-optimized structure of CdBi3Ru at the meta-GGA SCAN level of DFT.

Cell lengths 5.429, 5.429, 5.429 Å; angles 90.00, 90.00, 90.00 degrees
Element x y z (fractional)
Cd 0.000 0.000 0.000
Bi 0.000 0.000 0.500
Bi 0.000 0.500 0.000
Bi 0.500 0.000 0.000
Ru 0.500 0.500 0.500

Properties
- space-group type = Pm-3m (221)
- M_tot (μB per cell) = 2.229
- energy of formation (eV per atom) = 1.470